Entry 1:
VASP calculation (PBE) on a geometry-optimized NbCu structure.

Computed properties:
Energy relative to the elements   572 meV/atom
Final energy   -6.51 eV per atom

extended XYZ file:
```
8
Lattice="-4.747 1.614 0.379 -0.650 -0.754 -4.929 -1.599 -4.929 0.965" Properties=species:S:1:pos:R:3 pbc="T T T"
Nb -3.675 0.585 -3.098
Nb -2.190 -2.790 -3.486
Cu -2.561 -2.184 -1.003
Cu -4.036 1.203 -0.542
Nb -1.722 0.274 -1.452
Cu -1.361 -0.343 -4.007
Nb -4.805 -1.279 -0.099
Cu -4.434 -1.886 -2.582
```

***

Entry 2:
VASP calculation (PBE) on a geometry-optimized Hg5Ge structure.

Computed properties:
Energy relative to the elements   170 meV/atom
Final energy   -0.85 eV per atom

extended XYZ file:
```
6
Lattice="-1.939 3.194 2.242 -2.357 1.188 -3.730 -4.223 -5.232 3.800" Properties=species:S:1:pos:R:3 pbc="T T T"
Hg -3.001 -0.971 -1.212
Hg -2.675 0.133 1.732
Hg -2.148 2.191 -0.744
Hg -3.579 -3.073 1.282
Hg -5.844 -0.983 0.580
Ge 0.000 0.000 0.000
```

***

Entry 3:
VASP calculation (PBE) on a geometry-optimized InAgBi2H structure.

Computed properties:
Final energy   -3.01 eV per atom

extended XYZ file:
```
5
Lattice="-1.633 -5.310 2.203 1.478 0.827 3.090 -5.173 2.356 1.844" Properties=species:S:1:pos:R:3 pbc="T T T"
Bi -2.587 1.178 0.922
H 0.739 0.414 1.545
Ag -2.664 -1.063 3.568
Bi -0.817 -2.655 1.102
In 0.000 0.000 0.000
```

***

Entry 4:
VASP calculation (PBE) on a geometry-optimized Ac2In4HgPd3 structure.

Computed properties:
Energy relative to the elements   -577 meV/atom
Final energy   -4.08 eV per atom

extended XYZ file:
```
10
Lattice="4.651 0.000 0.000 0.000 4.651 0.000 0.000 0.000 11.532" Properties=species:S:1:pos:R:3 pbc="T T T"
Pd 0.000 0.000 5.766
Pd 0.000 2.325 1.521
In 0.000 2.325 4.192
In 2.325 0.000 7.340
Hg 2.325 2.325 5.766
Pd 2.325 0.000 10.011
In 0.000 0.000 0.000
Ac 0.000 2.325 8.697
In 2.325 2.325 0.000
Ac 2.325 0.000 2.835
```

***

Entry 5:
VASP calculation (PBE) on a geometry-optimized PmNd12Dy5 structure.

Computed properties:
Energy relative to the elements   17 meV/atom
Final energy   -4.70 eV per atom

extended XYZ file:
```
18
Lattice="-13.900 4.916 4.558 -10.272 -1.825 -3.231 -0.328 -3.965 3.279" Properties=species:S:1:pos:R:3 pbc="T T T"
Nd -9.237 3.267 3.029
Nd -5.929 -1.761 1.332
Nd -4.990 -2.315 4.808
Nd -11.791 -3.544 2.643
Dy -7.114 0.476 3.918
Nd -12.709 2.671 1.962
Nd -13.988 -0.732 1.771
Nd -6.861 -1.208 -2.145
Nd -10.512 -0.140 2.835
Dy -15.176 1.500 4.353
Nd -11.754 2.116 5.441
Pm 0.000 0.000 0.000
Nd -2.474 -1.164 2.396
Nd -18.571 0.888 3.274
Dy -8.058 1.030 0.442
Dy -9.324 -2.373 0.253
Nd -17.639 0.335 6.750
Dy -16.114 2.062 0.885
```

***

Entry 6:
VASP calculation (PBE) on a geometry-optimized Ca2AsPd3 structure.

Computed properties:
Energy relative to the elements   -772 meV/atom
Final energy   -4.81 eV per atom

extended XYZ file:
```
6
Lattice="4.798 0.033 2.290 1.458 4.572 2.290 0.045 0.033 5.317" Properties=species:S:1:pos:R:3 pbc="T T T"
Pd 0.022 0.016 2.658
Pd 0.729 2.286 1.145
Ca 3.948 2.906 6.201
As 0.000 0.000 0.000
Ca 2.353 1.731 3.695
Pd 2.399 0.016 1.145
```